GGA+U NaCr4O5, relaxed; calculated total energy = -7.2074 eV per atom; volume = 111 Å³ per cell
1.0
-0.9694 2.6915 -0.9729
0.9392 -1.2942 -4.5162
-7.1023 -3.5063 2.0690
Na Cr O
1 4 5
Cartesian
0.0000 0.0000 0.0000
-5.7257 -2.2587 -0.5435
-4.2595 -0.9757 -3.1474
-2.8730 -1.1333 -0.2727
-1.4068 0.1496 -2.8766
-2.1402 0.6926 -0.6436
-4.7748 -0.3467 -0.8936
-2.3577 -1.7624 -2.5265
0.4696 -0.6471 -2.2581
-4.9923 -2.8017 -2.7765